A geometry-optimized CuAsIrSe2 structure. Source: the Alexandria database, functional PBE.

Calculated values
DOS at the Fermi energy in states/eV per cell: 6.40
Raw total energy in eV per atom: -4.140
Calculated density in g cm⁻³: 6.80
ΔE_f (raw) in eV per atom: 0.775

Geometry as POSCAR:
```
CuAsIrSe2
1.0
5.106 0.000 0.000
0.000 5.106 0.000
0.000 0.000 4.574
Ir As Cu Se
1 1 1 2
Direct
0.000 0.000 0.000
0.000 0.000 0.500
0.500 0.500 0.500
0.500 0.000 0.000
0.000 0.500 0.000
```